## ZnTe2Os (meta-GGA SCAN)

Data for a crystal of ZnTe2Os relaxed with PBEsol.

Cell lengths 3.1635, 5.3013, 10.1028 Å; angles 90.00, 90.00, 90.00 degrees
Space group Cmmm (No. 65)
Unique sites:
Zn1 0.0000 0.0000 0.0000 (multiplicity 2)
Te1 0.0000 0.5000 0.2842 (multiplicity 4)
Os1 0.0000 0.0000 0.5000 (multiplicity 2)

Computed properties:
E_form (uncorrected): 0.74 eV/atom
total magnetic moment: 0.00 μB per formula unit
D(E_F): 4.87 states/eV/cell

---

## ZrAgPdF2 (meta-GGA SCAN)

Data for a crystal of ZrAgPdF2 relaxed with PBEsol.

Cell lengths 4.1279, 4.1279, 5.1819 Å; angles 90.00, 90.00, 90.00 degrees
Space group P4/mmm (No. 123)
Unique sites:
Zr1 0.0000 0.0000 0.0000 (multiplicity 1)
Ag1 0.5000 0.5000 0.0000 (multiplicity 1)
Pd1 0.0000 0.0000 0.5000 (multiplicity 1)
F1 0.0000 0.5000 0.5000 (multiplicity 2)

Computed properties:
E_form (uncorrected): -0.46 eV/atom
total magnetic moment: 0.01 μB per formula unit
D(E_F): 3.09 states/eV/cell

---

## Si3AuN (meta-GGA SCAN)

Data for a crystal of Si3AuN relaxed with PBEsol.

Cell lengths 4.6985, 4.6985, 4.6985 Å; angles 90.00, 90.00, 90.00 degrees
Space group Pm-3m (No. 221)
Unique sites:
Si1 0.0000 0.0000 0.5000 (multiplicity 3)
Au1 0.0000 0.0000 0.0000 (multiplicity 1)
N1 0.5000 0.5000 0.5000 (multiplicity 1)

Computed properties:
E_form (uncorrected): 1.98 eV/atom
total magnetic moment: 0.11 μB per formula unit
D(E_F): 3.06 states/eV/cell